Density functional theory data (PBE+U) for Ba3Ta2MoO9 after structural relaxation.

The structure in extended XYZ format:
```
15
Lattice="5.876 0.000 0.000 -2.938 5.089 0.000 0.000 0.000 7.210" Properties=species:S:1:pos:R:3 pbc="T T T"
O 1.515 0.875 4.872
O 4.361 0.875 4.872
O 2.938 3.339 4.872
O 1.423 4.214 2.337
O -1.423 4.214 2.337
O 1.469 2.544 0.000
O 2.938 0.000 0.000
O -1.469 2.544 0.000
O 0.000 1.750 2.337
Ba 0.000 0.000 0.000
Ba 0.000 3.393 4.776
Ba 2.938 1.696 2.433
Mo 0.000 0.000 3.605
Ta 0.000 3.393 1.208
Ta 2.938 1.696 6.001
```

Its raw total energy is -8.1701 eV per atom. The value obtained for the density of states at the Fermi level is 0.15 states/eV/atom. The space group is P-3m1.